[1]
Material: Tb2PbSe4
Method: DFT, PBE
State: relaxed

Summary:
- total magnetic moment (μB/atom) = 0.000
- space-group type = Cmcm
- total DFT energy (no corrections) (eV for the cell shown) = -74.6
- V (Å³/atom) = 28.66

Lattice parameters (Å, degrees): 4.135 7.118 14.247 90.00 90.00 106.89
Element x y z (fractional)
Se: 0.951 0.902 0.750
Se: 0.049 0.098 0.250
Se: 0.770 0.540 0.115
Tb: 0.136 0.272 0.067
Tb: 0.864 0.728 0.933
Se: 0.230 0.460 0.615
Se: 0.500 0.000 0.500
Se: 0.770 0.540 0.385
Pb: 0.605 0.209 0.750
Pb: 0.395 0.791 0.250
Se: 0.230 0.460 0.885
Tb: 0.136 0.272 0.433
Se: 0.500 0.000 0.000
Tb: 0.864 0.728 0.567



[2]
Material: LiSm3N
Method: DFT, PBE
State: relaxed

Summary:
- total magnetic moment (μB/atom) = 0.000
- space-group type = Pm-3m
- total DFT energy (no corrections) (eV for the cell shown) = -26.8
- V (Å³/atom) = 24.79

Lattice parameters (Å, degrees): 4.986 4.986 4.986 90.00 90.00 90.00
Element x y z (fractional)
N: 0.000 0.000 0.000
Sm: 0.500 0.000 0.000
Sm: 0.000 0.500 0.000
Li: 0.500 0.500 0.500
Sm: 0.000 0.000 0.500